First-principles (PBE) data for crystalline Fe3Ni3Rh at its relaxed geometry, as listed in Alexandria.

Lattice parameters (Å, degrees): 7.0369 7.0369 7.0369 90.00 90.00 90.00
Positions (direct):
Fe: 0.0462 0.3180 0.8728
Fe: 0.1272 0.5462 0.1820
Fe: 0.1820 0.1272 0.5462
Fe: 0.3180 0.8728 0.0462
Fe: 0.3728 0.4538 0.6820
Fe: 0.4538 0.6820 0.3728
Fe: 0.5462 0.1820 0.1272
Fe: 0.6272 0.9538 0.8180
Fe: 0.6820 0.3728 0.4538
Fe: 0.8180 0.6272 0.9538
Fe: 0.8728 0.0462 0.3180
Fe: 0.9538 0.8180 0.6272
Ni: 0.1394 0.6394 0.8606
Ni: 0.1542 0.8458 0.3458
Ni: 0.1720 0.1720 0.1720
Ni: 0.3280 0.8280 0.6720
Ni: 0.3458 0.1542 0.8458
Ni: 0.3606 0.3606 0.3606
Ni: 0.6394 0.8606 0.1394
Ni: 0.6542 0.6542 0.6542
Ni: 0.6720 0.3280 0.8280
Ni: 0.8280 0.6720 0.3280
Ni: 0.8458 0.3458 0.1542
Ni: 0.8606 0.1394 0.6394
Rh: 0.0338 0.4662 0.5338
Rh: 0.4662 0.5338 0.0338
Rh: 0.5338 0.0338 0.4662
Rh: 0.9662 0.9662 0.9662

Calculated values
E in eV per atom: -7.049
Symmetry: P2_13

=====

First-principles (PBE) data for crystalline Cu2OsAu at its relaxed geometry, as listed in Alexandria.

Lattice parameters (Å, degrees): 4.6284 4.6284 4.9773 98.34 98.34 33.09
Positions (direct):
Cu: 0.2456 0.2456 0.2264
Cu: 0.7544 0.7544 0.7736
Os: 0.5000 0.5000 0.0000
Au: 0.0000 0.0000 0.5000

Calculated values
E in eV per atom: -5.328
Distance to the lowest polymorph of the same formula in meV per atom: 118.7
Symmetry: C2/m